Record 1
Density functional theory data (PBE) for crystalline ReNi2P at its relaxed geometry.

Summary:
**Total energy**: -88.560 eV/cell

Cell: 2.7016 2.7016 23.3531 Å, 90.00 90.00 120.00°
With the nearest neighbours (Å) after each atom.
Space group R-3m (No. 166, hexagonal axes)
Inequivalent atoms, fractional coordinates:
Re (0.0000, 0.0000, 0.0000) x3  6 Ni 2.67, 6 Re 2.70
Ni (0.0000, 0.0000, 0.2407) x6  3 P 2.33
P (0.0000, 0.0000, 0.5000) x3  6 Ni 2.33


Record 2
Density functional theory data (PBE) for crystalline Re2NiP at its relaxed geometry.

Summary:
**Total energy**: -34.601 eV/cell

Cell: 2.9683 4.2101 4.3687 Å, 90.00 90.00 90.00°
With the nearest neighbours (Å) after each atom.
Space group Pmmm (No. 47)
Inequivalent atoms, fractional coordinates:
Re (0.0000, 0.0000, 0.0000) x1  4 P 2.58, 4 Re 2.64
Re (0.5000, 0.0000, 0.5000) x1  4 Ni 2.58, 4 Re 2.64
Ni (0.0000, 0.5000, 0.5000) x1  4 Re 2.58, 4 P 2.64
P (0.5000, 0.5000, 0.0000) x1  4 Re 2.58, 4 Ni 2.64


- What is the total energy in the first record?
  -88.560 eV/cell